1.
A plane-wave DFT calculation with GGA-PBE was carried out for an optimized crystal structure of AlCo2C.

## Properties
As for the formation energy: 0.04 eV/atom. As for the space group: I-42d.

abc: 4.8694 4.8694 4.8694
angles: 103.51 103.51 122.18
Element x y z (fractional)
Al 0.0000 0.0000 0.0000
Al 0.7500 0.2500 0.5000
Co 0.2325 0.6250 0.1075
Co 0.3750 0.4825 0.6075
Co 0.5175 0.1250 0.8925
Co 0.8750 0.7675 0.3925
C 0.2500 0.7500 0.5000
C 0.5000 0.5000 0.0000

***

2.
A plane-wave DFT calculation with GGA-PBE was carried out for an optimized crystal structure of Ac4Si2TeCl.

## Properties
The value obtained for the raw total energy is -4.862 eV per atom. As for the space group: I222.

abc: 7.0959 7.0959 7.0959
angles: 112.92 109.32 106.24
Element x y z (fractional)
Ac 0.0269 0.1221 0.6443
Ac 0.4778 0.3826 0.3557
Ac 0.5222 0.8779 0.9048
Ac 0.9731 0.6174 0.0952
Si 0.0000 0.3394 0.3394
Si 0.0000 0.6606 0.6606
Te 0.5000 0.0000 0.5000
Cl 0.5000 0.5000 0.0000

***

3.
A plane-wave DFT calculation with GGA-PBE was carried out for an optimized crystal structure of LaEu2H.

## Properties
Its polymorph energy (0 for the lowest one) is 0.000 eV per atom. As for the space group: R-3m.

abc: 10.2163 10.2163 10.2163
angles: 20.54 20.54 20.54
Element x y z (fractional)
La 0.0000 0.0000 0.0000
Eu 0.1178 0.1178 0.1178
Eu 0.8822 0.8822 0.8822
H 0.5000 0.5000 0.5000

***

4.
A plane-wave DFT calculation with GGA-PBE was carried out for an optimized crystal structure of Te2Pb.

## Properties
The value obtained for the raw total energy is -3.485 eV per atom. As for the space group: Cmcm.

abc: 7.4146 7.4146 6.3049
angles: 90.00 90.00 143.82
Element x y z (fractional)
Te 0.0060 0.9940 0.7500
Te 0.3122 0.6878 0.2500
Te 0.6878 0.3122 0.7500
Te 0.9940 0.0060 0.2500
Pb 0.3430 0.6570 0.7500
Pb 0.6570 0.3430 0.2500